# Ba2Mg3GaSn4

Crystalline Ba2Mg3GaSn4 at its relaxed geometry (PBE, Alexandria via LeMat-Bulk).

The structure in POSCAR format:
```
Ba2Mg3GaSn4
1.0
-3.2301 -3.4172 1.5814
2.6353 -3.5398 -2.2663
6.4681 -1.5286 9.9085
Mg Ga Sn Ba
3 1 4 2
direct
0.0000 0.5000 0.1340 Mg
0.0000 0.0000 0.5000 Mg
0.5000 0.0000 0.8660 Mg
0.5000 0.5000 0.5000 Ga
0.5000 0.0000 0.6283 Sn
0.0000 0.0000 0.0000 Sn
0.5000 0.5000 0.0000 Sn
0.0000 0.5000 0.3717 Sn
0.0000 0.5000 0.7467 Ba
0.5000 0.0000 0.2533 Ba
```

Results
space-group type: P-4m2, No. 115
magnetic moment: 0.000 Bohr magnetons per cell
E_form: -441 meV per atom


# Ba2MgGa4Sn3

Crystalline Ba2MgGa4Sn3 at its relaxed geometry (PBE, Alexandria via LeMat-Bulk).

The structure in POSCAR format:
```
Ba2MgGa4Sn3
1.0
4.9861 0.0000 0.0000
0.0000 4.9861 0.0000
0.0000 0.0000 11.0834
Ga Mg Ba Sn
4 1 2 3
direct
0.0000 0.5000 0.3715 Ga
0.0000 0.0000 0.0000 Ga
0.5000 0.0000 0.6285 Ga
0.5000 0.5000 0.0000 Ga
0.5000 0.5000 0.5000 Mg
0.5000 0.0000 0.2432 Ba
0.0000 0.5000 0.7568 Ba
0.5000 0.0000 0.8779 Sn
0.0000 0.5000 0.1221 Sn
0.0000 0.0000 0.5000 Sn
```

Results
space-group type: P-4m2, No. 115
magnetic moment: 0.000 Bohr magnetons per cell
E_form: -376 meV per atom


# BaMg2GaSn2

Crystalline BaMg2GaSn2 at its relaxed geometry (PBE, Alexandria via LeMat-Bulk).

The structure in POSCAR format:
```
BaMg2GaSn2
1.0
-2.9829 1.0647 3.7415
-3.1487 -7.3571 -0.4167
6.7977 -3.2690 6.3497
Ba Mg Sn Ga
2 4 4 2
direct
0.5000 0.5000 0.0000 Ba
0.0000 0.0000 0.5000 Ba
0.0000 0.4437 0.6704 Mg
0.0000 0.5563 0.3296 Mg
0.5000 0.9437 0.8296 Mg
0.5000 0.0563 0.1704 Mg
0.0000 0.7577 0.8132 Sn
0.0000 0.2423 0.1868 Sn
0.5000 0.7423 0.3132 Sn
0.5000 0.2577 0.6868 Sn
0.5000 0.5000 0.5000 Ga
0.0000 0.0000 0.0000 Ga
```

Results
space-group type: Pnnm, No. 58
magnetic moment: 0.000 Bohr magnetons per cell
E_form: -182 meV per atom


# BaMgGaSn2

Crystalline BaMgGaSn2 at its relaxed geometry (PBE, Alexandria via LeMat-Bulk).

The structure in POSCAR format:
```
BaMgGaSn2
1.0
4.7963 0.0000 0.0000
0.0000 4.7963 0.0000
-2.3982 -2.3982 6.3699
Ga Mg Sn Ba
1 1 2 1
direct
0.2500 0.7500 0.5000 Ga
0.7500 0.2500 0.5000 Mg
0.6198 0.6198 0.2395 Sn
0.3802 0.3802 0.7605 Sn
0.0000 0.0000 0.0000 Ba
```

Results
space-group type: I-4m2, No. 119
magnetic moment: 0.000 Bohr magnetons per cell
E_form: -404 meV per atom


# Ba2MgGa3Sn4

Crystalline Ba2MgGa3Sn4 at its relaxed geometry (PBE, Alexandria via LeMat-Bulk).

The structure in POSCAR format:
```
Ba2MgGa3Sn4
1.0
-1.8633 0.7582 -4.6821
-0.9405 -4.9896 -0.4337
-10.0346 1.5229 4.2400
Sn Ga Mg Ba
4 3 1 2
direct
0.5000 0.5000 0.0000 Sn
0.0000 0.5000 0.3689 Sn
0.0000 0.0000 0.0000 Sn
0.5000 0.0000 0.6311 Sn
0.5000 0.0000 0.8804 Ga
0.0000 0.0000 0.5000 Ga
0.0000 0.5000 0.1196 Ga
0.5000 0.5000 0.5000 Mg
0.0000 0.5000 0.7508 Ba
0.5000 0.0000 0.2492 Ba
```

Results
space-group type: P-4m2, No. 115
magnetic moment: 0.000 Bohr magnetons per cell
E_form: -392 meV per atom


# BaMgGa2Sn2

Crystalline BaMgGa2Sn2 at its relaxed geometry (PBE, Alexandria via LeMat-Bulk).

The structure in POSCAR format:
```
BaMgGa2Sn2
1.0
4.9334 0.0000 0.0000
-2.4667 4.2724 0.0000
0.0000 0.0000 7.7348
Ba Sn Mg Ga
1 2 1 2
direct
0.0000 0.0000 0.0000 Ba
0.6667 0.3333 0.7203 Sn
0.3333 0.6667 0.2797 Sn
0.0000 0.0000 0.5000 Mg
0.6667 0.3333 0.3503 Ga
0.3333 0.6667 0.6497 Ga
```

Results
space-group type: P-3m1, No. 164
magnetic moment: 0.000 Bohr magnetons per cell
E_form: -365 meV per atom


# BaSrMgGa

Crystalline BaSrMgGa at its relaxed geometry (PBE, Alexandria via LeMat-Bulk).

The structure in POSCAR format:
```
BaSrMgGa
1.0
-0.1081 5.8194 -0.1495
-4.4595 2.7650 -2.5234
-3.8334 2.9253 3.2630
Sr Mg Ba Ga
1 1 1 1
direct
0.5000 0.5000 0.5000 Sr
0.7500 0.7500 0.7500 Mg
0.0000 0.0000 0.0000 Ba
0.2500 0.2500 0.2500 Ga
```

Results
space-group type: F-43m, No. 216
magnetic moment: 0.000 Bohr magnetons per cell
E_form: -177 meV per atom


# BaSr2MgGa

Crystalline BaSr2MgGa at its relaxed geometry (PBE, Alexandria via LeMat-Bulk).

The structure in POSCAR format:
```
BaSr2MgGa
1.0
-3.4367 1.9394 -4.8996
4.0465 -2.7756 -3.9370
-2.9182 -4.5840 0.2324
Ba Sr Mg Ga
1 2 1 1
direct
0.5000 0.5000 0.5000 Ba
0.5000 0.0000 0.0000 Sr
0.0000 0.5000 0.0000 Sr
0.0000 0.0000 0.5000 Mg
0.0000 0.0000 0.0000 Ga
```

Results
space-group type: P4/mmm, No. 123
magnetic moment: 0.000 Bohr magnetons per cell
E_form: -38 meV per atom